Below is a relaxed structure of NbCrO3, with properties calculated at the PBE with a Hubbard U level.

Calculated values
Energy (eV per cell): -38.13

Lattice parameters (Å, degrees): 3.7823 3.7823 3.7823 90.00 90.00 90.00
Last column: nearest neighbours and their distance in Å.
Sites, in units of the cell vectors:
Nb (0.0000, 0.0000, 0.0000)  12 O 2.67
Cr (0.5000, 0.5000, 0.5000)  6 O 1.89
O (0.0000, 0.5000, 0.5000)  2 Cr 1.89
O (0.5000, 0.0000, 0.5000)  2 Cr 1.89
O (0.5000, 0.5000, 0.0000)  2 Cr 1.89